# 1
Below is a geometry-optimized Pr3Dy12Mg structure, with properties calculated at the PBE level.

The structure in POSCAR format:
```
Pr3Dy12Mg
1.0
5.031 0.000 0.000
0.000 5.031 0.000
0.000 0.000 20.150
Pr Dy Mg
3 12 1
Cartesian
0.000 0.000 0.000
0.000 0.000 5.090
0.000 0.000 15.060
0.000 2.515 2.555
0.000 2.515 7.635
0.000 2.515 12.514
0.000 2.515 17.595
2.515 0.000 2.555
2.515 0.000 7.635
2.515 0.000 12.514
2.515 0.000 17.595
2.515 2.515 0.000
2.515 2.515 5.156
2.515 2.515 10.075
2.515 2.515 14.994
0.000 0.000 10.075
```

Summary:
- energy (eV/atom) = -4.423

***

# 2
Below is a geometry-optimized Pr2Dy2Mg structure, with properties calculated at the PBE level.

The structure in POSCAR format:
```
Pr2Dy2Mg
1.0
-2.217 2.217 8.886
2.217 -2.217 8.886
2.217 2.217 -8.886
Pr Dy Mg
2 2 1
Cartesian
0.000 0.000 1.643
0.000 0.000 16.129
2.217 0.000 4.443
0.000 2.217 4.443
0.000 0.000 8.886
```

Summary:
- energy (eV/atom) = -3.729

***

# 3
Below is a geometry-optimized PrDyMgPt structure, with properties calculated at the PBE level.

The structure in POSCAR format:
```
PrDyMgPt
1.0
0.000 3.672 3.672
3.672 0.000 3.672
3.672 3.672 0.000
Pr Dy Mg Pt
1 1 1 1
Cartesian
0.000 0.000 0.000
3.672 3.672 3.672
5.508 5.508 5.508
1.836 1.836 1.836
```

Summary:
- energy (eV/atom) = -4.777

***

# 4
Below is a geometry-optimized PrDyPuMg structure, with properties calculated at the PBE level.

The structure in POSCAR format:
```
PrDyPuMg
1.0
0.000 3.910 3.910
3.910 0.000 3.910
3.910 3.910 0.000
Pr Dy Pu Mg
1 1 1 1
Cartesian
0.000 0.000 0.000
3.910 3.910 3.910
5.865 5.865 5.865
1.955 1.955 1.955
```

Summary:
- energy (eV/atom) = -6.171

***

# 5
Below is a geometry-optimized PrDyMgRh structure, with properties calculated at the PBE level.

The structure in POSCAR format:
```
PrDyMgRh
1.0
0.000 3.647 3.647
3.647 0.000 3.647
3.647 3.647 0.000
Pr Dy Mg Rh
1 1 1 1
Cartesian
0.000 0.000 0.000
3.647 3.647 3.647
5.470 5.470 5.470
1.823 1.823 1.823
```

Summary:
- energy (eV/atom) = -4.916

***

# 6
Below is a geometry-optimized PrDyMgSc structure, with properties calculated at the PBE level.

The structure in POSCAR format:
```
PrDyMgSc
1.0
3.519 0.000 0.000
0.000 3.521 0.000
0.003 0.010 9.291
Pr Dy Mg Sc
1 1 1 1
Cartesian
0.000 0.000 0.000
1.762 1.768 6.631
1.766 1.762 2.400
0.005 3.526 4.353
```

Summary:
- energy (eV/atom) = -4.329

***

# 7
Below is a geometry-optimized PrDyMgSc structure, with properties calculated at the PBE level.

The structure in POSCAR format:
```
PrDyMgSc
1.0
0.000 3.857 3.857
3.857 0.000 3.857
3.857 3.857 0.000
Pr Dy Mg Sc
1 1 1 1
Cartesian
0.000 0.000 0.000
3.857 3.857 3.857
5.786 5.786 5.786
1.929 1.929 1.929
```

Summary:
- energy (eV/atom) = -4.306

***

# 8
Below is a geometry-optimized Pr2Sm2DyMg structure, with properties calculated at the PBE level.

The structure in POSCAR format:
```
Pr2Sm2DyMg
1.0
-3.420 9.080 3.237
3.420 -9.080 3.237
3.420 9.080 -3.237
Pr Sm Dy Mg
4 4 2 2
Cartesian
1.054 2.769 0.000
1.054 -2.769 3.237
2.366 11.850 0.000
2.366 6.311 3.237
4.491 2.769 0.000
1.071 6.312 0.000
2.349 2.769 3.237
-1.071 6.312 3.237
3.420 0.000 1.618
0.000 9.080 1.618
0.000 0.000 1.618
0.000 0.000 4.855
```

Summary:
- energy (eV/atom) = -4.012

***

Which formula does entry 3 have? PrDyMgPt